## MnCuAgCl2 (PBE-GGA)

Data for crystalline MnCuAgCl2 at its relaxed geometry.

Properties
Magnetization, μB/f.u.: 4.90
E_tot, eV per atom: -3.61
Symmetry: P4/mmm, No. 123
Raw formation energy, kJ/mol of formula units: 169

a b c (Å): 4.5332 4.5332 5.6150
angles (deg): 90.00 90.00 90.00
Fractional positions:
Mn: 0.0000 0.0000 0.0000
Cu: 0.0000 0.0000 0.5000
Ag: 0.5000 0.5000 0.0000
Cl: 0.0000 0.5000 0.5000
Cl: 0.5000 0.0000 0.5000

***

## AcLaNd4Tm2 (PBE-GGA)

Data for crystalline AcLaNd4Tm2 at its relaxed geometry.

Properties
Magnetization, μB/f.u.: 0.00
E_tot, eV per atom: -4.50
Symmetry: C2/m, No. 12
Formation energy, meV/atom: 127.3

a b c (Å): 5.7477 5.7477 9.6945
angles (deg): 99.89 99.89 64.40
Fractional positions:
Ac: 0.0000 0.0000 0.0000
La: 0.5000 0.5000 0.5000
Nd: 0.1243 0.1243 0.3812
Nd: 0.3741 0.3741 0.1360
Nd: 0.6259 0.6259 0.8640
Nd: 0.8757 0.8757 0.6188
Tm: 0.2552 0.2552 0.7544
Tm: 0.7448 0.7448 0.2456